Density functional theory data (SCAN) for Co3Tc at its PBEsol-relaxed geometry.

Cell: 2.527 4.001 4.358 Å, 90.00 90.00 90.00°
Space group Pmm2 (No. 25)
Asymmetric unit:
Co1 0.000 0.000 0.000
Co2 0.000 0.500 0.324
Co3 0.500 0.000 0.483
Tc1 0.500 0.500 0.821

Output
DFT formation energy = 0.19 eV/atom